[1]
First-principles (PBE) data for a relaxed LiCo2Pd crystal, as listed in Alexandria via LeMat-Bulk.

DFT total energy: -80.9 eV for the cell shown
ΔE_f: 0.27 eV/atom
Crystal system: tetragonal

a b c (Å): 3.372 3.372 18.299
angles (deg): 90.00 90.00 90.00
Space group I-42d (No. 122)
Asymmetric unit:
Li 0.000 0.000 0.000
Co 0.238 0.250 0.125
Pd 0.000 0.000 0.500

[2]
First-principles (PBE) data for a relaxed ZrBeOs2 crystal, as listed in Alexandria via LeMat-Bulk.

DFT total energy: -68.8 eV for the cell shown
ΔE_f: 0.09 eV/atom
Crystal system: tetragonal

a b c (Å): 3.790 3.790 8.365
angles (deg): 90.00 90.00 90.00
Space group I-4m2 (No. 119)
Asymmetric unit:
Zr 0.000 0.000 0.000
Be 0.000 0.500 0.750
Os 0.000 0.000 0.500
Os 0.000 0.500 0.250

[3]
First-principles (PBE) data for a relaxed Be2CdBr crystal, as listed in Alexandria via LeMat-Bulk.

DFT total energy: -8.8 eV for the cell shown
E above lowest polymorph: 0.018 eV per atom
Crystal system: monoclinic
Raw formation energy: 1.2 eV per formula unit

a b c (Å): 3.198 3.093 7.850
angles (deg): 90.00 99.79 90.00
Space group Pm (No. 6)
Asymmetric unit:
Be 0.000 0.000 0.000
Be 0.428 0.500 0.840
Cd 0.580 0.500 0.194
Br 0.344 0.000 0.639

[4]
First-principles (PBE) data for a relaxed Y3Ga4Cu2 crystal, as listed in Alexandria via LeMat-Bulk.

DFT total energy: -90.0 eV for the cell shown
ΔE_f: -0.59 eV/atom
E above lowest polymorph: 0.000 eV per atom
Crystal system: monoclinic

a b c (Å): 10.459 4.388 8.355
angles (deg): 90.00 111.34 90.00
Space group C2/m (No. 12)
Asymmetric unit:
Y 0.000 0.000 0.000
Y 0.171 0.500 0.655
Ga 0.038 0.000 0.368
Ga 0.230 0.500 0.074
Cu 0.099 0.500 0.271

Which of these has the highest DFT total energy? Be2CdBr

What is the formula in the third record? Be2CdBr